1.
VASP calculation (meta-GGA SCAN) on a crystal of TmH2 relaxed with PBEsol.

Cell and atoms, written as CIF:
```
data_TmH2
_symmetry_space_group_name_H-M 'F m -3 m'
_symmetry_Int_Tables_number 225
_symmetry_space_group_name_Hall '-F 4 2 3'
_cell_length_a 5.010
_cell_length_b 5.010
_cell_length_c 5.010
_cell_angle_alpha 90.00
_cell_angle_beta 90.00
_cell_angle_gamma 90.00
loop_
_atom_site_label
_atom_site_type_symbol
_atom_site_fract_x
_atom_site_fract_y
_atom_site_fract_z
Tm1 Tm 0.000 0.000 0.000
H1 H 0.250 0.250 0.250
```

Summary:
Uncorrected energy   -1.4976 Ry per atom

2.
VASP calculation (meta-GGA SCAN) on a crystal of TmH3 relaxed with PBEsol.

Cell and atoms, written as CIF:
```
data_TmH3
_symmetry_space_group_name_H-M 'P -3 c 1'
_symmetry_Int_Tables_number 165
_symmetry_space_group_name_Hall '-P 3 2"c'
_cell_length_a 6.0940
_cell_length_b 6.0940
_cell_length_c 6.3277
_cell_angle_alpha 90.00
_cell_angle_beta 90.00
_cell_angle_gamma 120.00
loop_
_atom_site_label
_atom_site_type_symbol
_atom_site_fract_x
_atom_site_fract_y
_atom_site_fract_z
Tm1 Tm 0.0000 0.3365 0.2500
H1 H 0.0000 0.0000 0.2500
H2 H 0.0260 0.3485 0.9068
H3 H 0.3333 0.6667 0.1785
```

Summary:
Uncorrected energy   -1.1956 Ry per atom

3.
VASP calculation (meta-GGA SCAN) on a crystal of UH3 relaxed with PBEsol.

Cell and atoms, written as CIF:
```
data_UH3
_symmetry_space_group_name_H-M 'P m -3 n'
_symmetry_Int_Tables_number 223
_symmetry_space_group_name_Hall '-P 4n 2 3'
_cell_length_a 4.003
_cell_length_b 4.003
_cell_length_c 4.003
_cell_angle_alpha 90.00
_cell_angle_beta 90.00
_cell_angle_gamma 90.00
loop_
_atom_site_label
_atom_site_type_symbol
_atom_site_fract_x
_atom_site_fract_y
_atom_site_fract_z
U1 U 0.000 0.000 0.000
H1 H 0.000 0.250 0.500
```

Summary:
Uncorrected energy   -2.1064 Ry per atom

4.
VASP calculation (meta-GGA SCAN) on a crystal of VH relaxed with PBEsol.

Cell and atoms, written as CIF:
```
data_VH
_symmetry_space_group_name_H-M 'C c c m'
_symmetry_Int_Tables_number 66
_symmetry_space_group_name_Hall '-C 2 2c'
_cell_length_a 3.121
_cell_length_b 4.393
_cell_length_c 4.468
_cell_angle_alpha 90.00
_cell_angle_beta 90.00
_cell_angle_gamma 90.00
loop_
_atom_site_label
_atom_site_type_symbol
_atom_site_fract_x
_atom_site_fract_y
_atom_site_fract_z
V1 V 0.250 0.250 0.000
H1 H 0.000 0.000 0.250
```

Summary:
Uncorrected energy   -0.7888 Ry per atom

5.
VASP calculation (meta-GGA SCAN) on a crystal of VH relaxed with PBEsol.

Cell and atoms, written as CIF:
```
data_VH
_symmetry_space_group_name_H-M 'P 63/m m c'
_symmetry_Int_Tables_number 194
_symmetry_space_group_name_Hall '-P 6c 2c'
_cell_length_a 2.6993
_cell_length_b 2.6993
_cell_length_c 4.8385
_cell_angle_alpha 90.00
_cell_angle_beta 90.00
_cell_angle_gamma 120.00
loop_
_atom_site_label
_atom_site_type_symbol
_atom_site_fract_x
_atom_site_fract_y
_atom_site_fract_z
V1 V 0.0000 0.0000 0.0000
H1 H 0.3333 0.6667 0.2500
```

Summary:
Uncorrected energy   -0.7640 Ry per atom

6.
VASP calculation (meta-GGA SCAN) on a crystal of VH relaxed with PBEsol.

Cell and atoms, written as CIF:
```
data_VH
_symmetry_space_group_name_H-M 'F m -3 m'
_symmetry_Int_Tables_number 225
_symmetry_space_group_name_Hall '-F 4 2 3'
_cell_length_a 3.897
_cell_length_b 3.897
_cell_length_c 3.897
_cell_angle_alpha 90.00
_cell_angle_beta 90.00
_cell_angle_gamma 90.00
loop_
_atom_site_label
_atom_site_type_symbol
_atom_site_fract_x
_atom_site_fract_y
_atom_site_fract_z
V1 V 0.000 0.000 0.000
H1 H 0.000 0.000 0.500
```

Summary:
Uncorrected energy   -0.7848 Ry per atom

7.
VASP calculation (meta-GGA SCAN) on a crystal of HW relaxed with PBEsol.

Cell and atoms, written as CIF:
```
data_HW
_symmetry_space_group_name_H-M 'P 63/m m c'
_symmetry_Int_Tables_number 194
_symmetry_space_group_name_Hall '-P 6c 2c'
_cell_length_a 2.9157
_cell_length_b 2.9157
_cell_length_c 4.7133
_cell_angle_alpha 90.00
_cell_angle_beta 90.00
_cell_angle_gamma 120.00
loop_
_atom_site_label
_atom_site_type_symbol
_atom_site_fract_x
_atom_site_fract_y
_atom_site_fract_z
H1 H 0.0000 0.0000 0.0000
W1 W 0.3333 0.6667 0.2500
```

Summary:
Uncorrected energy   -2.6716 Ry per atom

8.
VASP calculation (meta-GGA SCAN) on a crystal of ZnH2W relaxed with PBEsol.

Cell and atoms, written as CIF:
```
data_ZnH2W
_symmetry_space_group_name_H-M 'I -4 2 d'
_symmetry_Int_Tables_number 122
_symmetry_space_group_name_Hall 'I -4 2bw'
_cell_length_a 4.281
_cell_length_b 4.281
_cell_length_c 8.005
_cell_angle_alpha 90.00
_cell_angle_beta 90.00
_cell_angle_gamma 90.00
loop_
_atom_site_label
_atom_site_type_symbol
_atom_site_fract_x
_atom_site_fract_y
_atom_site_fract_z
Zn1 Zn 0.000 0.000 0.000
H1 H 0.246 0.250 0.625
W1 W 0.000 0.000 0.500
```

Summary:
Uncorrected energy   -1.6177 Ry per atom

9.
VASP calculation (meta-GGA SCAN) on a crystal of Zn3HW relaxed with PBEsol.

Cell and atoms, written as CIF:
```
data_Zn3HW
_symmetry_space_group_name_H-M 'P m -3 m'
_symmetry_Int_Tables_number 221
_symmetry_space_group_name_Hall '-P 4 2 3'
_cell_length_a 4.973
_cell_length_b 4.973
_cell_length_c 4.973
_cell_angle_alpha 90.00
_cell_angle_beta 90.00
_cell_angle_gamma 90.00
loop_
_atom_site_label
_atom_site_type_symbol
_atom_site_fract_x
_atom_site_fract_y
_atom_site_fract_z
Zn1 Zn 0.000 0.000 0.500
H1 H 0.500 0.500 0.500
W1 W 0.000 0.000 0.000
```

Summary:
Uncorrected energy   -1.5473 Ry per atom

10.
VASP calculation (meta-GGA SCAN) on a crystal of Y3H2 relaxed with PBEsol.

Cell and atoms, written as CIF:
```
data_Y3H2
_symmetry_space_group_name_H-M 'P 63/m m c'
_symmetry_Int_Tables_number 194
_symmetry_space_group_name_Hall '-P 6c 2c'
_cell_length_a 3.6444
_cell_length_b 3.6444
_cell_length_c 17.0291
_cell_angle_alpha 90.00
_cell_angle_beta 90.00
_cell_angle_gamma 120.00
loop_
_atom_site_label
_atom_site_type_symbol
_atom_site_fract_x
_atom_site_fract_y
_atom_site_fract_z
Y1 Y 0.3333 0.6667 0.0874
Y2 Y 0.3333 0.6667 0.7500
H1 H 0.3333 0.6667 0.6189
```

Summary:
Uncorrected energy   -1.3649 Ry per atom

11.
VASP calculation (meta-GGA SCAN) on a crystal of Y10H21 relaxed with PBEsol.

Cell and atoms, written as CIF:
```
data_Y10H21
_symmetry_space_group_name_H-M 'P -1'
_symmetry_Int_Tables_number 2
_symmetry_space_group_name_Hall '-P 1'
_cell_length_a 6.273
_cell_length_b 7.243
_cell_length_c 8.093
_cell_angle_alpha 102.93
_cell_angle_beta 97.37
_cell_angle_gamma 106.86
loop_
_atom_site_label
_atom_site_type_symbol
_atom_site_fract_x
_atom_site_fract_y
_atom_site_fract_z
Y1 Y 0.001 0.251 0.001
Y2 Y 0.203 0.653 0.401
Y3 Y 0.204 0.149 0.400
Y4 Y 0.399 0.551 0.801
Y5 Y 0.401 0.049 0.797
H1 H 0.048 0.474 0.849
H2 H 0.050 0.975 0.849
H3 H 0.140 0.923 0.551
H4 H 0.149 0.425 0.549
H5 H 0.244 0.872 0.244
H6 H 0.251 0.376 0.252
H7 H 0.350 0.323 0.949
H8 H 0.351 0.827 0.951
H9 H 0.448 0.281 0.653
H10 H 0.448 0.770 0.653
H11 H 0.500 0.000 0.500
```

Summary:
Uncorrected energy   -0.8919 Ry per atom

12.
VASP calculation (meta-GGA SCAN) on a crystal of YH2 relaxed with PBEsol.

Cell and atoms, written as CIF:
```
data_YH2
_symmetry_space_group_name_H-M 'F m -3 m'
_symmetry_Int_Tables_number 225
_symmetry_space_group_name_Hall '-F 4 2 3'
_cell_length_a 5.128
_cell_length_b 5.128
_cell_length_c 5.128
_cell_angle_alpha 90.00
_cell_angle_beta 90.00
_cell_angle_gamma 90.00
loop_
_atom_site_label
_atom_site_type_symbol
_atom_site_fract_x
_atom_site_fract_y
_atom_site_fract_z
Y1 Y 0.000 0.000 0.000
H1 H 0.250 0.250 0.250
```

Summary:
Uncorrected energy   -0.9122 Ry per atom

13.
VASP calculation (meta-GGA SCAN) on a crystal of Y3H relaxed with PBEsol.

Cell and atoms, written as CIF:
```
data_Y3H
_symmetry_space_group_name_H-M 'P m m a'
_symmetry_Int_Tables_number 51
_symmetry_space_group_name_Hall '-P 2a 2a'
_cell_length_a 16.938
_cell_length_b 3.620
_cell_length_c 6.268
_cell_angle_alpha 90.00
_cell_angle_beta 90.00
_cell_angle_gamma 90.00
loop_
_atom_site_label
_atom_site_type_symbol
_atom_site_fract_x
_atom_site_fract_y
_atom_site_fract_z
Y1 Y 0.083 0.000 0.170
Y2 Y 0.089 0.500 0.667
Y3 Y 0.250 0.000 0.833
Y4 Y 0.250 0.500 0.328
H1 H 0.118 0.500 0.333
```

Summary:
Uncorrected energy   -1.6204 Ry per atom

14.
VASP calculation (meta-GGA SCAN) on a crystal of YH3 relaxed with PBEsol.

Cell and atoms, written as CIF:
```
data_YH3
_symmetry_space_group_name_H-M 'P 63/m m c'
_symmetry_Int_Tables_number 194
_symmetry_space_group_name_Hall '-P 6c 2c'
_cell_length_a 3.6070
_cell_length_b 3.6070
_cell_length_c 6.4639
_cell_angle_alpha 90.00
_cell_angle_beta 90.00
_cell_angle_gamma 120.00
loop_
_atom_site_label
_atom_site_type_symbol
_atom_site_fract_x
_atom_site_fract_y
_atom_site_fract_z
Y1 Y 0.3333 0.6667 0.2500
H1 H 0.0000 0.0000 0.2500
H2 H 0.3333 0.6667 0.5953
```

Summary:
Uncorrected energy   -0.7554 Ry per atom

15.
VASP calculation (meta-GGA SCAN) on a crystal of YH3 relaxed with PBEsol.

Cell and atoms, written as CIF:
```
data_YH3
_symmetry_space_group_name_H-M 'P -3 c 1'
_symmetry_Int_Tables_number 165
_symmetry_space_group_name_Hall '-P 3 2"c'
_cell_length_a 6.2251
_cell_length_b 6.2251
_cell_length_c 6.4532
_cell_angle_alpha 90.00
_cell_angle_beta 90.00
_cell_angle_gamma 120.00
loop_
_atom_site_label
_atom_site_type_symbol
_atom_site_fract_x
_atom_site_fract_y
_atom_site_fract_z
Y1 Y 0.0000 0.3363 0.2500
H1 H 0.0000 0.0000 0.2500
H2 H 0.0246 0.3472 0.9059
H3 H 0.3333 0.6667 0.1785
```

Summary:
Uncorrected energy   -0.7559 Ry per atom

16.
VASP calculation (meta-GGA SCAN) on a crystal of YZr3H relaxed with PBEsol.

Cell and atoms, written as CIF:
```
data_YZr3H
_symmetry_space_group_name_H-M 'P m -3 m'
_symmetry_Int_Tables_number 221
_symmetry_space_group_name_Hall '-P 4 2 3'
_cell_length_a 4.570
_cell_length_b 4.570
_cell_length_c 4.570
_cell_angle_alpha 90.00
_cell_angle_beta 90.00
_cell_angle_gamma 90.00
loop_
_atom_site_label
_atom_site_type_symbol
_atom_site_fract_x
_atom_site_fract_y
_atom_site_fract_z
Y1 Y 0.000 0.000 0.000
Zr1 Zr 0.000 0.500 0.500
H1 H 0.500 0.500 0.500
```

Summary:
Uncorrected energy   -1.8170 Ry per atom

17.
VASP calculation (meta-GGA SCAN) on a crystal of YZrH2 relaxed with PBEsol.

Cell and atoms, written as CIF:
```
data_YZrH2
_symmetry_space_group_name_H-M 'F m -3 m'
_symmetry_Int_Tables_number 225
_symmetry_space_group_name_Hall '-F 4 2 3'
_cell_length_a 5.940
_cell_length_b 5.940
_cell_length_c 5.940
_cell_angle_alpha 90.00
_cell_angle_beta 90.00
_cell_angle_gamma 90.00
loop_
_atom_site_label
_atom_site_type_symbol
_atom_site_fract_x
_atom_site_fract_y
_atom_site_fract_z
Y1 Y 0.000 0.000 0.000
Zr1 Zr 0.000 0.000 0.500
H1 H 0.250 0.250 0.250
```

Summary:
Uncorrected energy   -1.1769 Ry per atom

18.
VASP calculation (meta-GGA SCAN) on a crystal of ZnH6 relaxed with PBEsol.

Cell and atoms, written as CIF:
```
data_ZnH6
_symmetry_space_group_name_H-M 'P c a 21'
_symmetry_Int_Tables_number 29
_symmetry_space_group_name_Hall 'P 2c -2ac'
_cell_length_a 11.120
_cell_length_b 4.639
_cell_length_c 4.690
_cell_angle_alpha 90.00
_cell_angle_beta 90.00
_cell_angle_gamma 90.00
loop_
_atom_site_label
_atom_site_type_symbol
_atom_site_fract_x
_atom_site_fract_y
_atom_site_fract_z
Zn1 Zn 0.175 0.003 0.000
H1 H 0.047 0.012 0.122
H2 H 0.061 0.581 0.472
H3 H 0.063 0.415 0.466
H4 H 0.153 0.504 0.990
H5 H 0.188 0.000 0.642
H6 H 0.223 0.509 0.967
```

Summary:
Uncorrected energy   -0.3489 Ry per atom

19.
VASP calculation (meta-GGA SCAN) on a crystal of Zr2ZnH2 relaxed with PBEsol.

Cell and atoms, written as CIF:
```
data_Zr2ZnH2
_symmetry_space_group_name_H-M 'I 4/m m m'
_symmetry_Int_Tables_number 139
_symmetry_space_group_name_Hall '-I 4 2'
_cell_length_a 4.389
_cell_length_b 4.389
_cell_length_c 6.839
_cell_angle_alpha 90.00
_cell_angle_beta 90.00
_cell_angle_gamma 90.00
loop_
_atom_site_label
_atom_site_type_symbol
_atom_site_fract_x
_atom_site_fract_y
_atom_site_fract_z
Zr1 Zr 0.000 0.500 0.250
Zn1 Zn 0.000 0.000 0.000
H1 H 0.000 0.000 0.294
```

Summary:
Uncorrected energy   -1.2155 Ry per atom

20.
VASP calculation (meta-GGA SCAN) on a crystal of Zr2Zn2H relaxed with PBEsol.

Cell and atoms, written as CIF:
```
data_Zr2Zn2H
_symmetry_space_group_name_H-M 'I 4/m m m'
_symmetry_Int_Tables_number 139
_symmetry_space_group_name_Hall '-I 4 2'
_cell_length_a 3.917
_cell_length_b 3.917
_cell_length_c 13.086
_cell_angle_alpha 90.00
_cell_angle_beta 90.00
_cell_angle_gamma 90.00
loop_
_atom_site_label
_atom_site_type_symbol
_atom_site_fract_x
_atom_site_fract_y
_atom_site_fract_z
Zr1 Zr 0.000 0.500 0.250
Zn1 Zn 0.000 0.000 0.089
H1 H 0.000 0.000 0.500
```

Summary:
Uncorrected energy   -1.2824 Ry per atom

21.
VASP calculation (meta-GGA SCAN) on a crystal of ZrH2 relaxed with PBEsol.

Cell and atoms, written as CIF:
```
data_ZrH2
_symmetry_space_group_name_H-M 'I 4/m m m'
_symmetry_Int_Tables_number 139
_symmetry_space_group_name_Hall '-I 4 2'
_cell_length_a 3.506
_cell_length_b 3.506
_cell_length_c 4.304
_cell_angle_alpha 90.00
_cell_angle_beta 90.00
_cell_angle_gamma 90.00
loop_
_atom_site_label
_atom_site_type_symbol
_atom_site_fract_x
_atom_site_fract_y
_atom_site_fract_z
Zr1 Zr 0.000 0.000 0.000
H1 H 0.000 0.500 0.250
```

Summary:
Uncorrected energy   -0.9693 Ry per atom

22.
VASP calculation (meta-GGA SCAN) on a crystal of Hf relaxed with PBEsol.

Cell and atoms, written as CIF:
```
data_Hf
_symmetry_space_group_name_H-M 'F m -3 m'
_symmetry_Int_Tables_number 225
_symmetry_space_group_name_Hall '-F 4 2 3'
_cell_length_a 4.409
_cell_length_b 4.409
_cell_length_c 4.409
_cell_angle_alpha 90.00
_cell_angle_beta 90.00
_cell_angle_gamma 90.00
loop_
_atom_site_label
_atom_site_type_symbol
_atom_site_fract_x
_atom_site_fract_y
_atom_site_fract_z
Hf1 Hf 0.000 0.000 0.000
```

Summary:
Energy of formation from the pure elements   0.07 eV per atom

23.
VASP calculation (meta-GGA SCAN) on a crystal of Hf relaxed with PBEsol.

Cell and atoms, written as CIF:
```
data_Hf
_symmetry_space_group_name_H-M 'P 6/m m m'
_symmetry_Int_Tables_number 191
_symmetry_space_group_name_Hall '-P 6 2'
_cell_length_a 4.9029
_cell_length_b 4.9029
_cell_length_c 3.0586
_cell_angle_alpha 90.00
_cell_angle_beta 90.00
_cell_angle_gamma 120.00
loop_
_atom_site_label
_atom_site_type_symbol
_atom_site_fract_x
_atom_site_fract_y
_atom_site_fract_z
Hf1 Hf 0.0000 0.0000 0.0000
Hf2 Hf 0.3333 0.6667 0.5000
```

Summary:
Energy of formation from the pure elements   0.02 eV per atom

24.
VASP calculation (meta-GGA SCAN) on a crystal of Hf relaxed with PBEsol.

Cell and atoms, written as CIF:
```
data_Hf
_symmetry_space_group_name_H-M 'P 63/m m c'
_symmetry_Int_Tables_number 194
_symmetry_space_group_name_Hall '-P 6c 2c'
_cell_length_a 3.1533
_cell_length_b 3.1533
_cell_length_c 4.9842
_cell_angle_alpha 90.00
_cell_angle_beta 90.00
_cell_angle_gamma 120.00
loop_
_atom_site_label
_atom_site_type_symbol
_atom_site_fract_x
_atom_site_fract_y
_atom_site_fract_z
Hf1 Hf 0.3333 0.6667 0.2500
```

Summary:
Energy of formation from the pure elements   0.00 eV per atom

| no. | magnetization (μB/atom) |
| --- | --- |
| 1 | 0.00 |
| 2 | 0.00 |
| 3 | 0.70 |
| 4 | 0.00 |
| 5 | 0.00 |
| 6 | 0.00 |
| 7 | 0.00 |
| 8 | 0.00 |
| 9 | 0.74 |
| 10 | 0.00 |
| 11 | 0.00 |
| 12 | 0.00 |
| 13 | 0.03 |
| 14 | 0.00 |
| 15 | 0.00 |
| 16 | 0.00 |
| 17 | 0.00 |
| 18 | 0.00 |
| 19 | 0.00 |
| 20 | 0.00 |
| 21 | 0.00 |
| 22 | 0.00 |
| 23 | 0.00 |
| 24 | 0.00 |